1.
VASP calculation (PBE-GGA) on a relaxed structure of TcAs2Pt.

Cell and atoms, written as extended XYZ:
```
4
Lattice="4.366 0.000 0.000 0.000 4.366 0.000 0.000 0.000 3.284" Properties=species:S:1:pos:R:3 pbc="T T T"
Tc 0.000 0.000 0.000
As 0.000 2.183 1.642
As 2.183 0.000 1.642
Pt 2.183 2.183 0.000
```

Computed properties:
Energy of formation from the pure elements (eV per atom): 0.047
Offset from the most stable computed form (meV/atom): 152
SG: No. 123

=====

2.
VASP calculation (PBE-GGA) on a relaxed structure of NaBiN2.

Cell and atoms, written as extended XYZ:
```
8
Lattice="5.301 0.000 0.000 -0.078 6.146 0.000 -0.421 -0.020 8.775" Properties=species:S:1:pos:R:3 pbc="T T T"
Na -0.015 1.536 1.184
Na 4.817 4.590 7.590
Bi 2.651 0.000 0.000
Bi 2.612 3.073 0.000
N 0.384 4.606 5.137
N 0.884 4.618 4.140
N 3.918 1.508 4.635
N 4.418 1.520 3.637
```

Computed properties:
E_form (uncorrected) (meV per atom): 9
SG: No. 2

=====

3.
VASP calculation (PBE-GGA) on a relaxed structure of ScRhN2O.

Cell and atoms, written as extended XYZ:
```
5
Lattice="4.119 0.000 0.000 0.000 4.119 0.000 0.000 0.000 3.930" Properties=species:S:1:pos:R:3 pbc="T T T"
Sc 0.000 0.000 0.000
Rh 2.059 2.059 1.965
N 0.000 2.059 0.000
N 2.059 0.000 0.000
O 0.000 0.000 1.965
```

Computed properties:
E_form (uncorrected) (meV per atom): 694
SG: No. 123

=====

4.
VASP calculation (PBE-GGA) on a relaxed structure of NbV5W.

Cell and atoms, written as extended XYZ:
```
14
Lattice="3.333 -3.910 0.000 3.333 3.910 0.000 -2.128 0.000 7.975" Properties=species:S:1:pos:R:3 pbc="T T T"
Nb 1.737 1.979 5.981
Nb 2.801 -1.979 1.994
V -0.695 0.675 5.102
V 0.369 -0.675 1.115
V 1.160 0.559 3.577
V 0.096 -0.559 7.564
V 2.801 0.793 1.994
V 1.737 -0.793 5.981
V 4.442 0.559 0.410
V 3.378 -0.559 4.397
V 4.169 0.675 6.860
V 5.233 -0.675 2.873
W 1.666 1.955 0.000
W 0.603 -1.955 3.987
```

Computed properties:
Energy of formation from the pure elements (eV per atom): 0.161
SG: No. 15